No. 1
A plane-wave DFT calculation with PBE was carried out for a relaxed P2PdF crystal.

Total moment (μB per atom): 0.000
ΔE_f (raw) (eV/atom): -0.03
Calculated total energy (eV/atom): -4.500
E above lowest polymorph (meV per atom): 220

```
data_P2PdF
_space_group_name_H-M_alt 'P 1'
_space_group_IT_number 1
_space_group_name_Hall 'P 1'
_cell_length_a 5.058
_cell_length_b 5.058
_cell_length_c 6.892
_cell_angle_alpha 68.47
_cell_angle_beta 68.47
_cell_angle_gamma 90.00
loop_
_atom_site_label
_atom_site_fract_x
_atom_site_fract_y
_atom_site_fract_z
_atom_site_occupancy
Pd1 0.000 0.000 0.000 1
Pd2 0.750 0.250 0.500 1
P1 0.112 0.625 0.250 1
P2 0.375 0.362 0.750 1
P3 0.875 0.888 0.750 1
P4 0.638 0.125 0.250 1
F1 0.250 0.750 0.500 1
F2 0.500 0.500 0.000 1
```



No. 2
A plane-wave DFT calculation with PBE was carried out for a relaxed PPd3F crystal.

Total moment (μB per atom): 0.000
ΔE_f (raw) (eV/atom): -0.16
Calculated total energy (eV/atom): -4.736
E above lowest polymorph (meV per atom): 0

```
data_PPd3F
_space_group_name_H-M_alt 'P 1'
_space_group_IT_number 1
_space_group_name_Hall 'P 1'
_cell_length_a 4.475
_cell_length_b 4.475
_cell_length_c 4.475
_cell_angle_alpha 90.00
_cell_angle_beta 90.00
_cell_angle_gamma 90.00
loop_
_atom_site_label
_atom_site_fract_x
_atom_site_fract_y
_atom_site_fract_z
_atom_site_occupancy
Pd1 0.000 0.500 0.000 1
Pd2 0.500 0.000 0.000 1
Pd3 0.000 0.000 0.500 1
P1 0.000 0.000 0.000 1
F1 0.500 0.500 0.500 1
```



No. 3
A plane-wave DFT calculation with PBE was carried out for a relaxed PPd2F crystal.

Total moment (μB per atom): 0.000
ΔE_f (raw) (eV/atom): -0.57
Calculated total energy (eV/atom): -4.984
E above lowest polymorph (meV per atom): 15

```
data_PPd2F
_space_group_name_H-M_alt 'P 1'
_space_group_IT_number 1
_space_group_name_Hall 'P 1'
_cell_length_a 4.196
_cell_length_b 4.196
_cell_length_c 4.196
_cell_angle_alpha 60.00
_cell_angle_beta 60.00
_cell_angle_gamma 60.00
loop_
_atom_site_label
_atom_site_fract_x
_atom_site_fract_y
_atom_site_fract_z
_atom_site_occupancy
Pd1 0.250 0.250 0.250 1
Pd2 0.750 0.750 0.750 1
F1 0.000 0.000 0.000 1
P1 0.500 0.500 0.500 1
```



No. 4
A plane-wave DFT calculation with PBE was carried out for a relaxed PPdF2 crystal.

Total moment (μB per atom): 0.000
ΔE_f (raw) (eV/atom): -0.66
Calculated total energy (eV/atom): -4.251
E above lowest polymorph (meV per atom): 183

```
data_PPdF2
_space_group_name_H-M_alt 'P 1'
_space_group_IT_number 1
_space_group_name_Hall 'P 1'
_cell_length_a 3.595
_cell_length_b 3.595
_cell_length_c 8.147
_cell_angle_alpha 77.25
_cell_angle_beta 77.25
_cell_angle_gamma 90.00
loop_
_atom_site_label
_atom_site_fract_x
_atom_site_fract_y
_atom_site_fract_z
_atom_site_occupancy
F1 0.607 0.125 0.250 1
F2 0.875 0.857 0.750 1
F3 0.143 0.625 0.250 1
F4 0.375 0.393 0.750 1
P1 0.250 0.750 0.500 1
P2 0.500 0.500 0.000 1
Pd1 0.750 0.250 0.500 1
Pd2 0.000 0.000 0.000 1
```